VASP calculation (PBE) on a relaxed LaHgMo2 crystal.

Computed properties:
Calculated formation energy in eV/atom: 0.172
Uncorrected energy in eV/atom: -6.551

abc: 3.289 3.289 7.935
angles: 90.00 90.00 90.00
Space group P4mm (No. 99)
Symmetry-distinct sites (fractional):
La 0.000 0.000 0.000 [1 per cell]
Hg 0.500 0.500 0.683 [1 per cell]
Mo 0.000 0.000 0.440 [1 per cell]
Mo 0.500 0.500 0.281 [1 per cell]